Compound: BaFeO2
Source: Alexandria via LeMat-Bulk
Functional: GGA+U
Structure: relaxed

## Properties
M_tot (μB/f.u.): 4.00
Final energy (eV per formula unit): -24.41

a b c (Å): 6.594 6.594 6.594
angles (deg): 35.92 35.92 35.92
Fractional coordinates of all 4 atoms:
Ba (0.000, 0.000, 0.000)
Fe (0.500, 0.500, 0.500)
O (0.404, 0.404, 0.404)
O (0.596, 0.596, 0.596)